A plane-wave DFT calculation with PBE+U was carried out for crystalline NiTe2PbF at its relaxed geometry.

a = 5.7970 Å, b = 5.7970 Å, c = 5.1014 Å
α = 90.00°, β = 90.00°, γ = 90.00°
With the nearest neighbours (Å) after each atom.
Atoms (fractional coordinates):
Ni 0.0000 0.0000 0.0000  2 Pb 2.55
Te 0.0000 0.5000 0.5000  2 Pb 2.90
Te 0.5000 0.0000 0.5000  2 Pb 2.90
Pb 0.0000 0.0000 0.5000  2 Ni 2.55
F 0.5000 0.5000 0.0000  8 Te 3.86, 4 Ni 4.10

Offset from the most stable computed form: 630.4 meV/atom
Symmetry: P4/mmm
Energy: -11.4 eV/cell
Density of states at the Fermi level: 4.5 states/eV/f.u.